w) Entry from the Alexandria database: crystalline MnCuAu at its relaxed geometry (GGA-PBE).

Properties
As for the total magnetization: 4.0 μB/f.u. The density of states at the Fermi level is 1.5 states/eV per cell.

abc: 4.3568 4.3568 2.7407
angles: 90.00 90.00 120.00
Space group P3m1 (No. 156)
Unique sites:
Mn: 0.0000 0.0000 0.0000 (multiplicity 1)
Cu: 0.3333 0.6667 0.7291 (multiplicity 1)
Au: 0.6667 0.3333 0.3970 (multiplicity 1)

=====

x) Entry from the Alexandria database: crystalline MnCuAu at its relaxed geometry (GGA-PBE).

Properties
As for the total magnetization: 4.3 μB/f.u. The density of states at the Fermi level is 6.9 states/eV per cell.

abc: 5.9384 5.9384 5.9384
angles: 90.00 90.00 90.00
Space group F-43m (No. 216)
Unique sites:
Mn: 0.0000 0.0000 0.0000 (multiplicity 4)
Cu: 0.2500 0.2500 0.7500 (multiplicity 4)
Au: 0.0000 0.0000 0.5000 (multiplicity 4)

=====

Which is most stable, and by how much? w), by 0.172 eV/atom.

=====

w) Entry from the Alexandria database: crystalline MnCuAu4 at its relaxed geometry (GGA-PBE).

Properties
As for the total magnetization: 4.2 μB/f.u. The density of states at the Fermi level is 5.0 states/eV per cell.

abc: 4.8694 8.7401 4.8697
angles: 90.00 105.16 90.00
Space group C2/m (No. 12)
Unique sites:
Mn: 0.0000 0.0000 0.0000 (multiplicity 2)
Cu: 0.0000 0.5000 0.5000 (multiplicity 2)
Au: 0.0000 0.1609 0.5000 (multiplicity 4)
Au: 0.0000 0.3391 0.0000 (multiplicity 4)

=====

x) Entry from the Alexandria database: crystalline MnCuAu4 at its relaxed geometry (GGA-PBE).

Properties
As for the total magnetization: 4.5 μB/f.u. The density of states at the Fermi level is 11.9 states/eV per cell.

abc: 7.6869 7.6869 7.6869
angles: 90.00 90.00 90.00
Space group F-43m (No. 216)
Unique sites:
Mn: 0.0000 0.0000 0.0000 (multiplicity 4)
Cu: 0.2500 0.2500 0.7500 (multiplicity 4)
Au: 0.1249 0.1249 0.3751 (multiplicity 16)

=====

Which is most stable, and by how much? w), by 0.299 eV/atom.

=====

w) Entry from the Alexandria database: crystalline MnCuAu6 at its relaxed geometry (GGA-PBE).

Properties
As for the total magnetization: 4.4 μB/f.u. The density of states at the Fermi level is 5.0 states/eV per cell.

abc: 9.1449 4.0779 8.1520
angles: 90.00 116.09 90.00
Space group C2/m (No. 12)
Unique sites:
Mn: 0.0000 0.0000 0.0000 (multiplicity 2)
Cu: 0.0000 0.0000 0.5000 (multiplicity 2)
Au: 0.0015 0.5000 0.7463 (multiplicity 4)
Au: 0.2467 0.0000 0.3750 (multiplicity 4)
Au: 0.2487 0.5000 0.1256 (multiplicity 4)

=====

x) Entry from the Alexandria database: crystalline MnCuAu6 at its relaxed geometry (GGA-PBE).

Properties
As for the total magnetization: 4.3 μB/f.u. The density of states at the Fermi level is 8.4 states/eV per cell.

abc: 7.6610 7.6610 8.5310
angles: 90.00 90.00 120.00
Space group R-3 (No. 148, hexagonal axes)
Unique sites:
Mn: 0.0000 0.0000 0.0000 (multiplicity 3)
Cu: 0.0000 0.0000 0.5000 (multiplicity 3)
Au: 0.0027 0.3123 0.2465 (multiplicity 18)

=====

Which is most stable, and by how much? w), by 0.078 eV/atom.

=====

w) Entry from the Alexandria database: crystalline MnCu3Au4 at its relaxed geometry (GGA-PBE).

Properties
As for the total magnetization: 3.9 μB/f.u. The density of states at the Fermi level is 6.8 states/eV per cell.

abc: 22.6969 2.8592 4.1823
angles: 90.00 94.80 90.00
Space group C2/m (No. 12)
Unique sites:
Mn: 0.0000 0.0000 0.0000 (multiplicity 2)
Cu: 0.0000 0.5000 0.5000 (multiplicity 2)
Cu: 0.1684 0.5000 0.7161 (multiplicity 4)
Au: 0.0964 0.5000 0.1793 (multiplicity 4)
Au: 0.2117 0.0000 0.2352 (multiplicity 4)

=====

x) Entry from the Alexandria database: crystalline MnCu3Au4 at its relaxed geometry (GGA-PBE).

Properties
As for the total magnetization: 4.2 μB/f.u. The density of states at the Fermi level is 4.2 states/eV per cell.

abc: 9.0444 5.8959 4.6336
angles: 90.00 90.00 90.00
Space group Pmma (No. 51)
Unique sites:
Mn: 0.0000 0.0000 0.0000 (multiplicity 2)
Cu: 0.0000 0.5000 0.0000 (multiplicity 2)
Cu: 0.2500 0.0000 0.3910 (multiplicity 2)
Cu: 0.2500 0.5000 0.3917 (multiplicity 2)
Au: 0.0000 0.2531 0.5000 (multiplicity 4)
Au: 0.2500 0.2535 0.8996 (multiplicity 4)

=====

Which is most stable, and by how much? x), by 0.198 eV/atom.

=====

w) Entry from the Alexandria database: crystalline MnCu2Au6 at its relaxed geometry (GGA-PBE).

Properties
As for the total magnetization: 4.2 μB/f.u. The density of states at the Fermi level is 10.6 states/eV per cell.

abc: 12.9443 9.6493 4.8717
angles: 90.00 98.56 90.00
Space group C2/c (No. 15)
Unique sites:
Mn: 0.0000 0.1250 0.2500 (multiplicity 4)
Cu: 0.1663 0.3744 0.0885 (multiplicity 8)
Au: 0.0563 0.3761 0.5218 (multiplicity 8)
Au: 0.1116 0.1254 0.8051 (multiplicity 8)
Au: 0.2257 0.1259 0.3475 (multiplicity 8)

=====

x) Entry from the Alexandria database: crystalline MnCu2Au6 at its relaxed geometry (GGA-PBE).

Properties
As for the total magnetization: 4.2 μB/f.u. The density of states at the Fermi level is 5.6 states/eV per cell.

abc: 8.9052 4.0540 8.5852
angles: 90.00 106.11 90.00
Space group C2/m (No. 12)
Unique sites:
Mn: 0.0000 0.0000 0.0000 (multiplicity 2)
Cu: 0.1698 0.5000 0.2239 (multiplicity 4)
Au: 0.0017 0.0000 0.3189 (multiplicity 4)
Au: 0.1632 0.5000 0.8989 (multiplicity 4)
Au: 0.1674 0.5000 0.5584 (multiplicity 4)

=====

Which is most stable, and by how much? x), by 0.018 eV/atom.

=====

w) Entry from the Alexandria database: crystalline MnCu3Au3 at its relaxed geometry (GGA-PBE).

Properties
As for the total magnetization: 4.5 μB/f.u. The density of states at the Fermi level is 10.9 states/eV per cell.

abc: 7.6918 8.2015 7.2555
angles: 90.00 90.00 90.00
Space group Cmmm (No. 65)
Unique sites:
Mn: 0.2165 0.0000 0.0000 (multiplicity 4)
Cu: 0.0000 0.2405 0.5000 (multiplicity 4)
Cu: 0.0000 0.2563 0.0000 (multiplicity 4)
Cu: 0.2130 0.0000 0.5000 (multiplicity 4)
Au: 0.0000 0.5000 0.2608 (multiplicity 4)
Au: 0.2500 0.2500 0.2533 (multiplicity 8)

=====

x) Entry from the Alexandria database: crystalline MnCu3Au3 at its relaxed geometry (GGA-PBE).

Properties
As for the total magnetization: 4.2 μB/f.u. The density of states at the Fermi level is 5.3 states/eV per cell.

abc: 7.3113 7.3113 4.6146
angles: 90.00 90.00 120.00
Space group P6_3/m (No. 176)
Unique sites:
Mn: 0.3333 0.6667 0.2500 (multiplicity 2)
Cu: 0.1071 0.4831 0.7500 (multiplicity 6)
Au: 0.0451 0.2570 0.2500 (multiplicity 6)

=====

Which is most stable, and by how much? x), by 0.076 eV/atom.